[1]
The following is a PBE calculation of a relaxed AlSi2Au crystal, from the Alexandria database.

Lattice parameters (Å, degrees): 6.245 6.245 6.245 154.83 138.00 49.60
Element x y z (fractional)
Si: 0.036 0.036 0.000
Si: 0.464 0.464 0.000
Al: 0.250 0.750 0.500
Au: 0.750 0.250 0.500

space group	Immm (71)
E	-17.0	eV per formula unit
raw formation energy	207	meV per atom

***

[2]
The following is a PBE calculation of a relaxed ZnF3 crystal, from the Alexandria database.

Lattice parameters (Å, degrees): 2.902 4.460 4.667 118.54 108.11 90.00
Each line ends with the local moment (μB).
Element x y z (fractional)
F: 0.335 0.719 0.671  0.27
F: 0.665 0.048 0.329  0.27
F: 0.500 0.363 0.000  0.31
Zn: 0.000 0.037 0.000  0.08

space group	Imm2 (44)
E	-12.8	eV per formula unit
raw formation energy	-1468	meV per atom

***

[3]
The following is a PBE calculation of a relaxed Ac2Ni2Pt crystal, from the Alexandria database.

Lattice parameters (Å, degrees): 4.303 5.970 10.347 82.18 78.00 68.88
Element x y z (fractional)
Ni: 0.387 0.124 0.102
Ni: 0.966 0.653 0.415
Ni: 0.034 0.347 0.585
Ni: 0.613 0.876 0.898
Pt: 0.574 0.168 0.684
Pt: 0.426 0.832 0.316
Ac: 0.698 0.241 0.362
Ac: 0.302 0.759 0.638
Ac: 0.095 0.705 0.104
Ac: 0.905 0.295 0.896

space group	C2/m (12)
formation enthalpy at 0 K	-550	meV per atom
E	-28.6	eV per formula unit

***

[4]
The following is a PBE calculation of a relaxed Ni3C crystal, from the Alexandria database.

Lattice parameters (Å, degrees): 4.263 4.263 4.263 90.00 90.00 90.00
Each line ends with the local moment (μB).
Element x y z (fractional)
Ni: 0.500 0.000 0.250  0.36
Ni: 0.250 0.500 0.000  0.36
Ni: 0.500 0.000 0.750  0.36
Ni: 0.000 0.750 0.500  0.36
Ni: 0.750 0.500 0.000  0.36
Ni: 0.000 0.250 0.500  0.36
C: 0.500 0.500 0.500  0.03
C: 0.000 0.000 0.000  0.03

space group	Pm-3n (223)
offset from the most stable computed form	979	meV/atom
formation enthalpy at 0 K	1041	meV per atom
E	-22.4	eV per formula unit

***

[5]
The following is a PBE calculation of a relaxed TmPuZn2Ge2 crystal, from the Alexandria database.

Lattice parameters (Å, degrees): 4.374 4.374 7.217 90.00 90.00 120.00
Each line ends with the local moment (μB).
Element x y z (fractional)
Pu: 0.000 0.000 0.000  5.39
Zn: 0.667 0.333 0.264  0.04
Zn: 0.333 0.667 0.736  0.04
Ge: 0.667 0.333 0.749  -0.03
Ge: 0.333 0.667 0.251  -0.03
Tm: 0.000 0.000 0.500  0.22

space group	P-3m1 (164)
formation enthalpy at 0 K	-456	meV per atom
E	-33.3	eV per formula unit

***

[6]
The following is a PBE calculation of a relaxed Cs2CdSnSe4 crystal, from the Alexandria database.

Lattice parameters (Å, degrees): 6.686 8.196 13.279 84.11 75.42 65.93
Element x y z (fractional)
Se: 0.311 0.801 0.108
Se: 0.888 0.801 0.892
Se: 0.220 0.199 0.892
Se: 0.581 0.199 0.108
Se: 0.439 0.699 0.392
Se: 0.862 0.699 0.608
Se: 0.530 0.301 0.608
Se: 0.169 0.301 0.392
Sn: 0.250 0.500 0.500
Sn: 0.500 0.000 0.000
Cs: 0.569 0.500 0.861
Cs: 0.931 0.500 0.139
Cs: 0.181 0.000 0.639
Cs: 0.819 0.000 0.361
Cd: 0.000 0.000 0.000
Cd: 0.750 0.500 0.500

space group	Fddd (70)
E	-27.3	eV per formula unit
raw formation energy	-844	meV per atom

***

Q: Which value of E does entry 4 give?
A: -22.4 eV per formula unit